VASP calculation (PBE with a Hubbard U) on Rb2DyMo3O12 after structural relaxation.

Cell and atoms, written as extended XYZ:
```
18
Lattice="-4.4273 -5.0593 3.5579 1.6434 -2.3535 7.0439 -4.3161 2.0661 5.9126" Properties=species:S:1:pos:R:3 pbc="T T T"
Mo -2.2137 -2.5296 1.7789
Dy 0.0000 0.0000 0.0000
O 0.3826 -1.7478 5.2707
O -6.0150 -2.2503 7.0937
Rb -4.4926 -3.3832 10.4497
O -4.9382 -4.8137 7.2081
Mo 0.8217 -1.1767 3.5220
O -2.1618 -0.5329 9.3063
O -3.0592 -3.2819 3.2944
O -2.2324 -5.0554 7.8117
O -4.1039 -6.1045 11.8851
Mo -2.1580 1.0330 2.9563
O -7.4826 -3.5989 11.2437
O -2.9961 0.7579 4.6294
Rb -2.6074 -1.9635 6.0647
O -4.8675 -0.2912 8.7027
O -1.0850 -3.0963 9.4207
O -4.0408 -2.0648 13.2201
```

Properties
energy = -6.6933 eV/atom
calculated volume = 16.9 Å³/atom
SG = R-3m (166)

=====

VASP calculation (PBE with a Hubbard U) on RbDyMoO5 after structural relaxation.

Cell and atoms, written as extended XYZ:
```
16
Lattice="6.5020 0.0665 -0.0502 -1.8344 6.2382 -0.0502 -1.9963 -2.6965 7.4739" Properties=species:S:1:pos:R:3 pbc="T T T"
Dy 0.0000 0.0000 0.0000
O -1.8108 5.1771 1.8183
Mo -0.7158 2.2792 5.5553
O -0.9072 3.7794 4.5704
O 1.9578 1.1913 0.7376
Rb 0.3454 3.5808 1.8183
O 0.7135 2.4169 6.6359
O 4.4821 -1.5689 5.5553
Rb 2.3259 0.0274 5.5553
O -0.4302 0.8720 4.4746
O -2.2064 2.0244 6.5401
O 3.1015 2.7362 2.8990
O 4.8777 1.5838 0.8334
Mo 3.3870 1.3290 1.8183
Dy -0.9982 -1.3483 3.7370
O 3.5785 -0.1711 2.8032
```

Properties
energy = -6.9607 eV/atom
calculated volume = 18.9 Å³/atom
SG = C2/c (15)

=====

VASP calculation (PBE with a Hubbard U) on Rb4Dy3MoO8 after structural relaxation.

Cell and atoms, written as extended XYZ:
```
16
Lattice="-2.5505 1.5775 6.2567 -2.4844 -7.1946 0.8013 6.7583 0.8665 -1.3106" Properties=species:S:1:pos:R:3 pbc="T T T"
O -1.1759 -1.8767 1.8792
O 0.7539 -4.1201 1.3461
Rb -1.2752 0.7888 3.1284
O 4.1999 -3.6784 0.6778
Dy -2.5174 -2.8085 3.5290
O 0.9696 -0.6305 4.4013
Rb 3.3792 0.4332 -0.6553
Dy 0.8617 -2.3753 2.8737
O -0.4838 -3.3283 4.4890
Rb 0.0000 0.0000 0.0000
Dy 2.1370 -3.1641 -0.2547
Mo -1.2422 -3.5973 0.4006
Rb 2.1039 1.2220 2.4731
O 2.8994 -2.8739 3.8682
O -2.4765 -1.0722 5.0696
O 2.2073 -1.4223 1.2584
```

Properties
energy = -6.4255 eV/atom
calculated volume = 17.0 Å³/atom
SG = R-3m (166)

=====

- Among the records above, which one has the highest energy?
  Rb4Dy3MoO8